Record 1
Material: AlTe4W
Method: DFT, PBE
State: optimized geometry

Unit cell a=6.283 b=6.283 c=6.283 alpha=60.00 beta=60.00 gamma=60.00
Fractional coordinates of all 6 atoms:
Te 0.376 0.376 0.871
Te 0.376 0.376 0.376
Te 0.376 0.871 0.376
Te 0.871 0.376 0.376
Al 0.000 0.000 0.000
W 0.750 0.750 0.750

Properties
density	6830	kg/m3
raw formation energy	1.329	eV/atom


Record 2
Material: Pa3SbO
Method: DFT, PBE
State: optimized geometry

Unit cell a=4.745 b=4.745 c=4.745 alpha=90.00 beta=90.00 gamma=90.00
Fractional coordinates of all 5 atoms:
Sb 0.500 0.500 0.500
Pa 0.000 0.000 0.500
Pa 0.500 0.000 0.000
Pa 0.000 0.500 0.000
O 0.000 0.000 0.000

Properties
density	12911	kg/m3
raw formation energy	-1.157	eV/atom


Record 3
Material: MnAl3
Method: DFT, PBE
State: optimized geometry

Unit cell a=4.291 b=4.291 c=4.291 alpha=60.00 beta=60.00 gamma=60.00
Fractional coordinates of all 4 atoms:
Al 0.000 0.000 0.000
Al 0.250 0.250 0.250
Al 0.500 0.500 0.500
Mn 0.750 0.750 0.750

Properties
density	4038	kg/m3
energy of formation from the pure elements	32	kJ/mol of formula units


Record 4
Material: Tl3TcB
Method: DFT, PBE
State: optimized geometry

Unit cell a=5.318 b=5.318 c=5.318 alpha=90.00 beta=90.00 gamma=90.00
Fractional coordinates of all 5 atoms:
B 0.500 0.500 0.500
Tl 0.500 0.000 0.000
Tl 0.000 0.500 0.000
Tl 0.000 0.000 0.500
Tc 0.000 0.000 0.000

Properties
density	7969	kg/m3
energy of formation from the pure elements	681	kJ/mol of formula units
energy above the most stable polymorph in this dataset	69	meV/atom


Record 5
Material: TbErScCu
Method: DFT, PBE
State: optimized geometry

Unit cell a=5.141 b=5.141 c=5.141 alpha=60.00 beta=60.00 gamma=60.00
Fractional coordinates of all 4 atoms:
Tb 0.000 0.000 0.000
Er 0.500 0.500 0.500
Cu 0.250 0.250 0.250
Sc 0.750 0.750 0.750

Properties
density	7514	kg/m3
energy of formation from the pure elements	46	kJ/mol of formula units


Record 6
Material: MnCu2Au2
Method: DFT, PBE
State: optimized geometry

Unit cell a=2.787 b=6.853 c=9.243 alpha=60.17 beta=81.33 gamma=78.27
Fractional coordinates of all 10 atoms:
Cu 0.910 0.175 0.006
Cu 0.093 0.383 0.431
Cu 0.907 0.617 0.569
Cu 0.090 0.825 0.994
Au 0.239 0.368 0.154
Au 0.761 0.632 0.846
Au 0.535 0.196 0.734
Au 0.465 0.804 0.266
Mn 0.776 0.042 0.406
Mn 0.224 0.958 0.594

Properties
density	12778	kg/m3
energy of formation from the pure elements	96	kJ/mol of formula units
energy above the most stable polymorph in this dataset	242	meV/atom


Fermi-level density of states
In order: 4.55; 7.31; 4.21; 5.64; 3.54; 5.47
Unit: states/eV/cell
DFT total energy
In order: -3.548; -8.670; -5.017; -3.417; -4.785; -4.585
Unit: eV per atom